A crystal of Rh2WAu relaxed with PBEsol. Source: Alexandria via LeMat-Bulk, functional SCAN.

Summary:
calculated formation energy = 10 kJ per mole of atoms
D(E_F) = 5.2 states/eV/cell
SG = P4mm, No. 99
calculated total energy = -51.49 eV/atom
size of the total moment = 0.0 μB/f.u.
relative energy among the computed polymorphs = 228 meV/atom

abc: 2.743 2.743 7.851
angles: 90.00 90.00 90.00
Element x y z (fractional)
Au1 0.500 0.500 0.751
W1 0.000 0.000 0.487
Rh1 0.500 0.500 0.252
Rh2 0.000 0.000 0.010



A crystal of BaY3Bi relaxed with PBEsol. Source: Alexandria via LeMat-Bulk, functional SCAN.

Summary:
calculated formation energy = 89 kJ per mole of atoms
D(E_F) = 3.6 states/eV/cell
SG = Pm-3m, No. 221
calculated total energy = -39.41 eV/atom
size of the total moment = 0.1 μB/f.u.

abc: 5.556 5.556 5.556
angles: 90.00 90.00 90.00
Element x y z (fractional)
Bi1 0.500 0.500 0.500
Y1 0.500 0.000 0.000
Y2 0.000 0.500 0.000
Y3 0.000 0.000 0.500
Ba1 0.000 0.000 0.000



A crystal of Li2LaCu relaxed with PBEsol. Source: Alexandria via LeMat-Bulk, functional SCAN.

Summary:
calculated formation energy = 12 kJ per mole of atoms
D(E_F) = 1.9 states/eV/cell
SG = I4/mmm, No. 139
calculated total energy = -15.65 eV/atom
size of the total moment = 0.0 μB/f.u.
relative energy among the computed polymorphs = 122 meV/atom

abc: 4.090 4.090 5.905
angles: 110.26 110.26 90.00
Element x y z (fractional)
La1 0.000 0.000 0.000
Li1 0.750 0.250 0.500
Li2 0.250 0.750 0.500
Cu1 0.500 0.500 0.000



A crystal of MgGa2 relaxed with PBEsol. Source: Alexandria via LeMat-Bulk, functional SCAN.

Summary:
calculated formation energy = -10 kJ per mole of atoms
D(E_F) = 2.1 states/eV/cell
SG = C2/c, No. 15
calculated total energy = -12.66 eV/atom
size of the total moment = 0.0 μB/f.u.

abc: 5.139 5.019 5.600
angles: 73.16 62.69 59.20
Element x y z (fractional)
Ga1 0.551 0.925 0.750
Ga2 0.773 0.425 0.250
Ga3 0.449 0.075 0.250
Ga4 0.227 0.575 0.750
Mg1 0.888 0.250 0.750
Mg2 0.112 0.750 0.250



A crystal of ScNi2Te relaxed with PBEsol. Source: Alexandria via LeMat-Bulk, functional SCAN.

Summary:
formation energy (no corrections) = -137.8 kJ/mol of formula units
D(E_F) = 1.9 states/eV/cell
SG = Fm-3m, No. 225
calculated total energy = -21.32 eV/atom
size of the total moment = 0.0 μB/f.u.

abc: 4.391 4.391 4.391
angles: 60.00 60.00 60.00
Element x y z (fractional)
Te1 0.500 0.500 0.500
Sc1 0.000 0.000 0.000
Ni1 0.250 0.250 0.250
Ni2 0.750 0.750 0.750



A crystal of Nb4Si7Ni4 relaxed with PBEsol. Source: Alexandria via LeMat-Bulk, functional SCAN.

Summary:
formation energy (no corrections) = -964.5 kJ/mol of formula units
D(E_F) = 12.6 states/eV/cell
SG = I4/mmm, No. 139
calculated total energy = -18.49 eV/atom
size of the total moment = 0.0 μB/f.u.

abc: 4.969 9.206 9.206
angles: 85.82 74.34 74.34
Element x y z (fractional)
Nb1 0.500 0.808 0.192
Nb2 0.865 0.000 0.270
Nb3 0.135 0.000 0.730
Nb4 0.865 0.270 0.000
Nb5 0.308 0.192 0.192
Nb6 0.692 0.808 0.808
Nb7 0.135 0.730 0.000
Nb8 0.500 0.192 0.808
Ni1 0.398 0.500 0.204
Ni2 0.102 0.500 0.796
Ni3 0.602 0.796 0.500
Ni4 0.898 0.500 0.204
Ni5 0.102 0.796 0.500
Ni6 0.398 0.204 0.500
Ni7 0.898 0.204 0.500
Ni8 0.602 0.500 0.796
Si1 0.708 0.584 0.000
Si2 0.249 0.000 0.000
Si3 0.093 0.407 0.407
Si4 0.500 0.593 0.407
Si5 0.292 0.000 0.416
Si6 0.907 0.593 0.593
Si7 0.500 0.407 0.593
Si8 0.000 0.292 0.708
Si9 0.292 0.708 0.708
Si10 0.292 0.416 0.000
Si11 0.708 0.000 0.584
Si12 0.708 0.292 0.292
Si13 0.751 0.000 0.000
Si14 0.000 0.708 0.292



A crystal of Ba2GaPN relaxed with PBEsol. Source: Alexandria via LeMat-Bulk, functional SCAN.

Summary:
formation energy (no corrections) = -7.5 kJ/mol of formula units
D(E_F) = 4.6 states/eV/cell
SG = P4/mmm, No. 123
calculated total energy = -23.04 eV/atom
size of the total moment = 0.0 μB/f.u.

abc: 3.570 6.177 6.177
angles: 90.00 90.00 90.00
Element x y z (fractional)
Ga1 0.500 0.500 0.500
P1 0.000 0.000 0.000
N1 0.500 0.000 0.000
Ba1 0.000 0.500 0.000
Ba2 0.000 0.000 0.500



A crystal of ZnIn2I relaxed with PBEsol. Source: Alexandria via LeMat-Bulk, functional SCAN.

Summary:
formation energy (no corrections) = 107.0 kJ/mol of formula units
D(E_F) = 3.0 states/eV/cell
SG = Fm-3m, No. 225
calculated total energy = -28.98 eV/atom
size of the total moment = 0.0 μB/f.u.

abc: 5.402 5.402 5.402
angles: 60.00 60.00 60.00
Element x y z (fractional)
Zn1 0.000 0.000 0.000
In1 0.750 0.750 0.750
In2 0.250 0.250 0.250
I1 0.500 0.500 0.500